# PmLuTe GGA-PBE optimized geometry
# Excess energy over the best structure of this formula in the dataset ... 284 meV/atom
# E_tot ... -4.616 eV/atom
# Uncorrected formation energy ... -0.478 eV per atom
data_PmLuTe
_symmetry_space_group_name_H-M 'P 3 m 1'
_symmetry_Int_Tables_number 156
_cell_length_a 5.1612
_cell_length_b 5.1612
_cell_length_c 3.9647
_cell_angle_alpha 90.00
_cell_angle_beta 90.00
_cell_angle_gamma 120.00
loop_
_symmetry_equiv_pos_as_xyz
'x,y,z'
'-y,x-y,z'
'-x+y,-x,z'
'-y,-x,z'
'-x+y,y,z'
'x,x-y,z'
loop_
_atom_site_label
_atom_site_type_symbol
_atom_site_fract_x
_atom_site_fract_y
_atom_site_fract_z
_atom_site_occupancy
Pm1 Pm 0.0000 0.0000 0.0000 1
Lu1 Lu 0.3333 0.6667 0.4971 1
Te1 Te 0.6667 0.3333 0.3544 1

# Pm2LuTe GGA-PBE optimized geometry
# E_tot ... -4.865 eV/atom
# Uncorrected formation energy ... -0.574 eV per atom
data_Pm2LuTe
_symmetry_space_group_name_H-M 'P 4/m m m'
_symmetry_Int_Tables_number 123
_symmetry_space_group_name_Hall '-P 4 2'
_cell_length_a 4.019
_cell_length_b 4.019
_cell_length_c 7.503
_cell_angle_alpha 90.00
_cell_angle_beta 90.00
_cell_angle_gamma 90.00
loop_
_atom_site_label
_atom_site_type_symbol
_atom_site_fract_x
_atom_site_fract_y
_atom_site_fract_z
_atom_site_occupancy
Pm1 Pm 0.000 0.000 0.233 1
Lu1 Lu 0.500 0.500 0.500 1
Te1 Te 0.500 0.500 0.000 1

Computed calculated volume, in the same sequence as the records: 30.49; 30.30 A^3/atom.